Material: YNpO6
Method: DFT, GGA-PBE
State: optimized geometry

Results
Formation energy from raw total energies in eV per formula unit: -18.976
E_tot in eV per atom: -8.5162

Geometry as CIF:
```
data_YNpO6
_symmetry_space_group_name_H-M 'C 1 2 1'
_symmetry_Int_Tables_number 5
_cell_length_a 5.413
_cell_length_b 9.988
_cell_length_c 5.333
_cell_angle_alpha 90.00
_cell_angle_beta 110.47
_cell_angle_gamma 90.00
loop_
_symmetry_equiv_pos_as_xyz
'x,y,z'
'-x,y,-z'
'x+1/2,y+1/2,z'
'-x+1/2,y+1/2,-z'
loop_
_atom_site_label
_atom_site_fract_x
_atom_site_fract_y
_atom_site_fract_z
_atom_site_occupancy
Y1 0.000 0.000 0.000 1
Np1 0.000 0.307 0.500 1
O1 0.059 0.862 0.399 1
O2 0.073 0.168 0.767 1
O3 0.082 0.438 0.782 1
```

***

Material: NbV2W3
Method: DFT, GGA-PBE
State: optimized geometry

Results
Energy relative to the lowest polymorph listed for this composition in kcal/mol of atoms: 7.00
E_tot in eV per atom: -10.9266
E_form in eV/atom: 0.2678

Geometry as CIF:
```
data_NbV2W3
_symmetry_space_group_name_H-M 'C m c m'
_symmetry_Int_Tables_number 63
_symmetry_space_group_name_Hall '-C 2c 2'
_cell_length_a 7.876
_cell_length_b 5.295
_cell_length_c 9.249
_cell_angle_alpha 90.00
_cell_angle_beta 90.00
_cell_angle_gamma 90.00
loop_
_atom_site_label
_atom_site_fract_x
_atom_site_fract_y
_atom_site_fract_z
_atom_site_occupancy
Nb1 0.000 0.240 0.250 1
V1 0.161 0.261 0.750 1
W1 0.000 0.000 0.000 1
W2 0.169 0.500 0.000 1
```

***

Material: LiCa2GaHg6
Method: DFT, GGA-PBE
State: optimized geometry

Results
E_tot in eV per atom: -1.3377
E_form in eV/atom: -0.2622

Geometry as CIF:
```
data_LiCa2GaHg6
_symmetry_space_group_name_H-M 'P -1'
_symmetry_Int_Tables_number 2
_cell_length_a 6.381
_cell_length_b 6.468
_cell_length_c 6.646
_cell_angle_alpha 80.39
_cell_angle_beta 78.57
_cell_angle_gamma 75.86
loop_
_symmetry_equiv_pos_as_xyz
'x,y,z'
'-x,-y,-z'
loop_
_atom_site_label
_atom_site_fract_x
_atom_site_fract_y
_atom_site_fract_z
_atom_site_occupancy
Li1 0.000 0.000 0.000 1
Ca1 0.277 0.235 0.260 1
Ga1 0.500 0.500 0.500 1
Hg1 0.138 0.354 0.771 1
Hg2 0.216 0.868 0.638 1
Hg3 0.353 0.731 0.132 1
```

***

Material: HfCuPdRh
Method: DFT, GGA-PBE
State: optimized geometry

Results
E_tot in eV per atom: -7.3444
E_form in eV/atom: -0.6960

Geometry as CIF:
```
data_HfCuPdRh
_symmetry_space_group_name_H-M 'P m m m'
_symmetry_Int_Tables_number 47
_cell_length_a 3.685
_cell_length_b 3.935
_cell_length_c 4.209
_cell_angle_alpha 90.00
_cell_angle_beta 90.00
_cell_angle_gamma 90.00
loop_
_symmetry_equiv_pos_as_xyz
'x,y,z'
'-x,-y,-z'
'-x,-y,z'
'x,y,-z'
'x,-y,-z'
'-x,y,z'
'-x,y,-z'
'x,-y,z'
loop_
_atom_site_label
_atom_site_fract_x
_atom_site_fract_y
_atom_site_fract_z
_atom_site_occupancy
Hf1 0.000 0.000 0.000 1
Cu1 0.000 0.500 0.500 1
Pd1 0.500 0.000 0.500 1
Rh1 0.500 0.500 0.000 1
```

***

Material: LaDySi
Method: DFT, GGA-PBE
State: optimized geometry

Results
Energy relative to the lowest polymorph listed for this composition in kcal/mol of atoms: 0.00
Formation energy from raw total energies in eV per formula unit: -1.507
E_tot in eV per atom: -5.4864

Geometry as CIF:
```
data_LaDySi
_symmetry_space_group_name_H-M 'C 1 2/m 1'
_symmetry_Int_Tables_number 12
_cell_length_a 11.815
_cell_length_b 4.329
_cell_length_c 8.384
_cell_angle_alpha 90.00
_cell_angle_beta 128.06
_cell_angle_gamma 90.00
loop_
_symmetry_equiv_pos_as_xyz
'x,y,z'
'-x,-y,-z'
'-x,y,-z'
'x,-y,z'
'x+1/2,y+1/2,z'
'-x+1/2,-y+1/2,-z'
'-x+1/2,y+1/2,-z'
'x+1/2,-y+1/2,z'
loop_
_atom_site_label
_atom_site_fract_x
_atom_site_fract_y
_atom_site_fract_z
_atom_site_occupancy
La1 0.085 0.000 0.359 1
Dy1 0.181 0.500 0.076 1
Si1 0.122 0.500 0.663 1
```

***

Material: PuInGa2
Method: DFT, GGA-PBE
State: optimized geometry

Results
Energy relative to the lowest polymorph listed for this composition in kcal/mol of atoms: 2.17
E_tot in eV per atom: -5.9750
E_form in eV/atom: -0.1940

Geometry as CIF:
```
data_PuInGa2
_symmetry_space_group_name_H-M 'F m -3 m'
_symmetry_Int_Tables_number 225
_symmetry_space_group_name_Hall '-F 4 2 3'
_cell_length_a 7.015
_cell_length_b 7.015
_cell_length_c 7.015
_cell_angle_alpha 90.00
_cell_angle_beta 90.00
_cell_angle_gamma 90.00
loop_
_atom_site_label
_atom_site_fract_x
_atom_site_fract_y
_atom_site_fract_z
_atom_site_occupancy
Pu1 0.000 0.000 0.000 1
In1 0.000 0.000 0.500 1
Ga1 0.250 0.250 0.250 1
```

***

Material: BaCu3H
Method: DFT, GGA-PBE
State: optimized geometry

Results
Energy relative to the lowest polymorph listed for this composition in kcal/mol of atoms: 26.13
E_tot in eV per atom: -1.8225

Geometry as CIF:
```
data_BaCu3H
_symmetry_space_group_name_H-M 'P m -3 m'
_symmetry_Int_Tables_number 221
_symmetry_space_group_name_Hall '-P 4 2 3'
_cell_length_a 6.199
_cell_length_b 6.199
_cell_length_c 6.199
_cell_angle_alpha 90.00
_cell_angle_beta 90.00
_cell_angle_gamma 90.00
loop_
_atom_site_label
_atom_site_fract_x
_atom_site_fract_y
_atom_site_fract_z
_atom_site_occupancy
Ba1 0.000 0.000 0.000 1
Cu1 0.000 0.000 0.500 1
H1 0.500 0.500 0.500 1
```

***

Material: Dy6YErSc2
Method: DFT, GGA-PBE
State: optimized geometry

Results
E_tot in eV per atom: -5.0081
E_form in eV/atom: 0.1222

Geometry as CIF:
```
data_Dy6YErSc2
_symmetry_space_group_name_H-M 'C 1 2/c 1'
_symmetry_Int_Tables_number 15
_cell_length_a 8.898
_cell_length_b 14.788
_cell_length_c 9.336
_cell_angle_alpha 90.00
_cell_angle_beta 96.84
_cell_angle_gamma 90.00
loop_
_symmetry_equiv_pos_as_xyz
'x,y,z'
'-x,-y,-z'
'-x,y,-z+1/2'
'x,-y,z+1/2'
'x+1/2,y+1/2,z'
'-x+1/2,-y+1/2,-z'
'-x+1/2,y+1/2,-z+1/2'
'x+1/2,-y+1/2,z+1/2'
loop_
_atom_site_label
_atom_site_fract_x
_atom_site_fract_y
_atom_site_fract_z
_atom_site_occupancy
Dy1 0.061 0.183 0.446 1
Dy2 0.102 0.396 0.618 1
Dy3 0.210 0.228 0.818 1
Y1 0.000 0.025 0.750 1
Er1 0.000 0.409 0.250 1
Sc1 0.248 0.445 0.954 1
```